(1)
Density functional theory data (PBE) for a relaxed structure of LiTiTeI2.

Structure (CIF):
```
data_LiTiTeI2
_chemical_formula_sum 'Li1 Ti1 Te1 I2'
_cell_length_a 5.189
_cell_length_b 5.189
_cell_length_c 5.455
_cell_angle_alpha 90.00
_cell_angle_beta 90.00
_cell_angle_gamma 90.00
_symmetry_space_group_name_H-M 'P 1'
_symmetry_Int_Tables_number 1
loop_
_symmetry_equiv_pos_as_xyz
'x,y,z'
loop_
_atom_site_label
_atom_site_type_symbol
_atom_site_fract_x
_atom_site_fract_y
_atom_site_fract_z
I1 I 0.000 0.500 0.000
I2 I 0.500 0.000 0.000
Te1 Te 0.000 0.000 0.500
Li1 Li 0.000 0.000 0.000
Ti1 Ti 0.500 0.500 0.500
```

Formation energy without anion corrections ... 1.307 eV per formula unit
M_tot ... 0.010 μB/atom
Energy above the lowest structure with this stoichiometry ... 725.3 meV per atom
Density of states at the Fermi level ... 1.94 states/eV/atom
Total energy ... -14.744 eV/f.u.

=====

(2)
Density functional theory data (PBE) for a relaxed structure of Li2TlTeI.

Structure (CIF):
```
data_Li2TlTeI
_chemical_formula_sum 'Li2 Tl1 Te1 I1'
_cell_length_a 5.206
_cell_length_b 5.206
_cell_length_c 6.859
_cell_angle_alpha 90.00
_cell_angle_beta 90.00
_cell_angle_gamma 90.00
_symmetry_space_group_name_H-M 'P 1'
_symmetry_Int_Tables_number 1
loop_
_symmetry_equiv_pos_as_xyz
'x,y,z'
loop_
_atom_site_label
_atom_site_type_symbol
_atom_site_fract_x
_atom_site_fract_y
_atom_site_fract_z
I1 I 0.500 0.500 0.500
Tl1 Tl 0.000 0.000 0.500
Te1 Te 0.000 0.000 0.000
Li1 Li 0.000 0.500 0.000
Li2 Li 0.500 0.000 0.000
```

Formation energy without anion corrections ... -3.525 eV per formula unit
M_tot ... 0.000 μB/atom
Density of states at the Fermi level ... 0.00 states/eV/atom
Total energy ... -14.411 eV/f.u.

=====

(3)
Density functional theory data (PBE) for a relaxed structure of LiTlTeI2.

Structure (CIF):
```
data_LiTlTeI2
_chemical_formula_sum 'Li1 Tl1 Te1 I2'
_cell_length_a 5.725
_cell_length_b 5.725
_cell_length_c 5.253
_cell_angle_alpha 90.00
_cell_angle_beta 90.00
_cell_angle_gamma 90.00
_symmetry_space_group_name_H-M 'P 1'
_symmetry_Int_Tables_number 1
loop_
_symmetry_equiv_pos_as_xyz
'x,y,z'
loop_
_atom_site_label
_atom_site_type_symbol
_atom_site_fract_x
_atom_site_fract_y
_atom_site_fract_z
I1 I 0.000 0.500 0.000
I2 I 0.500 0.000 0.000
Tl1 Tl 0.500 0.500 0.500
Te1 Te 0.000 0.000 0.500
Li1 Li 0.000 0.000 0.000
```

Formation energy without anion corrections ... -1.594 eV per formula unit
M_tot ... 0.061 μB/atom
Energy above the lowest structure with this stoichiometry ... 0.0 meV per atom
Density of states at the Fermi level ... 1.08 states/eV/atom
Total energy ... -12.116 eV/f.u.

=====

> Number 3 is which compound?

LiTlTeI2

=====

> The highest total energy belongs to which entry?

LiTlTeI2